A relaxed structure of AlAgMo, computed with PBE-GGA.

a = 2.8406 Å, b = 2.8406 Å, c = 6.9683 Å
α = 90.00°, β = 90.00°, γ = 120.00°
Atoms (fractional coordinates):
1 Al 0.6667 0.3333 0.3373
2 Ag 0.0000 0.0000 0.0087
3 Mo 0.3333 0.6667 0.6540

Output
Mass density, g cm⁻³: 7.87
Space-group type: P3m1
Energy above the most stable polymorph in this dataset, meV per atom: 38
DFT formation energy, kcal/mol of atoms: 2.90
Calculated volume, Å³ per atom: 16.2

***

A relaxed structure of CaAl2Ni, computed with PBE-GGA.

a = 5.5888 Å, b = 7.0710 Å, c = 14.9641 Å
α = 90.00°, β = 90.00°, γ = 90.00°
Atoms (fractional coordinates):
1 Al 0.9698 0.0546 0.2117
2 Al 0.8032 0.9386 0.0469
3 Al 0.1968 0.0614 0.9531
4 Al 0.5302 0.0546 0.7117
5 Al 0.0302 0.9454 0.7883
6 Al 0.4698 0.5546 0.2883
7 Al 0.4698 0.9454 0.2883
8 Al 0.3032 0.0614 0.4531
9 Al 0.9698 0.4454 0.2117
10 Al 0.5302 0.4454 0.7117
11 Al 0.0302 0.5546 0.7883
12 Al 0.6968 0.5614 0.5469
13 Al 0.1968 0.4386 0.9531
14 Al 0.3032 0.4386 0.4531
15 Al 0.8032 0.5614 0.0469
16 Al 0.6968 0.9386 0.5469
17 Ni 0.0142 0.7500 0.9282
18 Ni 0.5142 0.2500 0.5718
19 Ni 0.2446 0.2500 0.3096
20 Ni 0.2554 0.2500 0.8096
21 Ni 0.9858 0.2500 0.0718
22 Ni 0.7554 0.7500 0.6904
23 Ni 0.7446 0.7500 0.1904
24 Ni 0.4858 0.7500 0.4282
25 Ca 0.4740 0.2500 0.1313
26 Ca 0.7885 0.2500 0.3975
27 Ca 0.5260 0.7500 0.8687
28 Ca 0.9740 0.7500 0.3687
29 Ca 0.2885 0.7500 0.1025
30 Ca 0.7115 0.2500 0.8975
31 Ca 0.2115 0.7500 0.6025
32 Ca 0.0260 0.2500 0.6313

Output
Mass density, g cm⁻³: 3.43
Space-group type: Pnma
DFT formation energy, kcal/mol of atoms: -10.82
Calculated volume, Å³ per atom: 18.5

***

A relaxed structure of Co2CuAs, computed with PBE-GGA.

a = 5.2237 Å, b = 5.2237 Å, c = 6.3602 Å
α = 65.75°, β = 65.75°, γ = 90.00°
Atoms (fractional coordinates):
1 Co 0.8750 0.8862 0.7500
2 Co 0.3750 0.3638 0.7500
3 Co 0.6362 0.1250 0.2500
4 Co 0.1138 0.6250 0.2500
5 As 0.7500 0.2500 0.5000
6 As 0.0000 0.0000 0.0000
7 Cu 0.5000 0.5000 0.0000
8 Cu 0.2500 0.7500 0.5000

Output
Mass density, g cm⁻³: 6.03
Space-group type: I-42d
DFT formation energy, kcal/mol of atoms: 18.88
Calculated volume, Å³ per atom: 17.7

***

A relaxed structure of Cs3Y3TiS8, computed with PBE-GGA.

a = 7.9132 Å, b = 7.9142 Å, c = 9.3973 Å
α = 114.92°, β = 90.00°, γ = 120.00°
Atoms (fractional coordinates):
1 Y 0.5000 0.0000 0.5000
2 Y 0.5000 0.5000 0.5000
3 Y 0.0000 0.5000 0.5000
4 S 0.2095 0.9614 0.6708
5 S 0.7905 0.0386 0.3292
6 S 0.2096 0.4192 0.6708
7 S 0.2481 0.0386 0.3292
8 S 0.7275 0.4551 0.6826
9 S 0.7904 0.5808 0.3292
10 S 0.7519 0.9614 0.6708
11 S 0.2725 0.5449 0.3174
12 Cs 0.5000 0.5000 0.0000
13 Cs 0.0000 0.0000 0.0000
14 Cs 0.0000 0.5000 0.0000
15 Ti 0.0000 0.0000 0.5000

Output
Mass density, g cm⁻³: 3.62
Space-group type: R-3m
Calculated volume, Å³ per atom: 29.7
Formation energy from raw total energies, eV per atom: -1.714